A geometry-optimized Si2Ir2Br structure. Source: Alexandria, functional PBE.

Unit cell a=7.535 b=7.535 c=2.777 alpha=90.00 beta=90.00 gamma=90.00
Atoms (fractional coordinates):
Si (0.145, 0.355, 0.000)
Si (0.355, 0.855, 0.000)
Si (0.645, 0.145, 0.000)
Si (0.855, 0.645, 0.000)
Ir (0.137, 0.637, 0.500)
Ir (0.363, 0.137, 0.500)
Ir (0.637, 0.863, 0.500)
Ir (0.863, 0.363, 0.500)
Br (0.000, 0.000, 0.000)
Br (0.500, 0.500, 0.000)

Summary:
E above lowest polymorph = 0.231 eV per atom
Crystal system = tetragonal
Raw total energy = -5.972 eV/atom
Formation energy (no corrections) = 0.076 eV/atom
N(E_F) = 2.1 states/eV/f.u.
Density = 10.96 g/cm3